# PBE+U Rb3Ni2HgF9, optimized geometry
data_Rb3Ni2HgF9
_cell_length_a 6.0360
_cell_length_b 6.0360
_cell_length_c 7.4621
_cell_angle_alpha 90.00
_cell_angle_beta 90.00
_cell_angle_gamma 120.00
_symmetry_space_group_name_H-M 'P -3 m 1'
_symmetry_Int_Tables_number 164
_symmetry_space_group_name_Hall '-P 3 2"'
loop_
_atom_site_label
_atom_site_type_symbol
_atom_site_fract_x
_atom_site_fract_y
_atom_site_fract_z
Rb1 Rb 0.0000 0.0000 0.0000
Rb2 Rb 0.3333 0.6667 0.6703
Ni1 Ni 0.3333 0.6667 0.1518
Hg1 Hg 0.0000 0.0000 0.5000
F1 F 0.0000 0.5000 0.0000
F2 F 0.1774 0.3548 0.3140
# Electronic total energy ... -59.5 eV/cell
# Size of the total moment ... 4.0 μB per formula unit